No. 1
The following is a DFT calculation (GGA-PBEsol) of a geometry-optimized Ta2CoCl structure.

Results
**E_tot**: -67.03 eV per cell
**Raw formation energy**: 0.333 eV/atom
**Excess energy over the best structure of this formula in the dataset**: 348 meV per atom
**DOS at the Fermi energy**: 4.08 states/eV/f.u.

Lattice parameters (Å, degrees): 4.512 4.512 5.718 90.00 90.00 90.00
Space group I4/mmm (No. 139)
Symmetry-distinct sites (fractional):
Ta: 0.000 0.500 0.250 [4 per cell]
Co: 0.000 0.000 0.000 [2 per cell]
Cl: 0.000 0.000 0.500 [2 per cell]


No. 2
The following is a DFT calculation (GGA-PBEsol) of a geometry-optimized TaCoCl2 structure.

Results
**E_tot**: -90.08 eV per cell
**Raw formation energy**: 0.446 eV/atom
**Excess energy over the best structure of this formula in the dataset**: 0 meV per atom
**DOS at the Fermi energy**: 3.90 states/eV/f.u.

Lattice parameters (Å, degrees): 5.997 5.997 5.997 90.00 90.00 90.00
Space group Fm-3m (No. 225)
Symmetry-distinct sites (fractional):
Ta: 0.000 0.000 0.000 [4 per cell]
Co: 0.000 0.000 0.500 [4 per cell]
Cl: 0.250 0.250 0.250 [8 per cell]


No. 3
The following is a DFT calculation (GGA-PBEsol) of a geometry-optimized TaCo2Cl structure.

Results
**E_tot**: -56.23 eV per cell
**Raw formation energy**: 0.480 eV/atom
**Excess energy over the best structure of this formula in the dataset**: 325 meV per atom
**DOS at the Fermi energy**: 4.37 states/eV/f.u.

Lattice parameters (Å, degrees): 4.761 8.041 2.863 90.00 90.00 90.00
Space group Cmmm (No. 65)
Symmetry-distinct sites (fractional):
Ta: 0.000 0.000 0.000 [2 per cell]
Co: 0.250 0.250 0.500 [4 per cell]
Cl: 0.000 0.500 0.000 [2 per cell]


No. 4
The following is a DFT calculation (GGA-PBEsol) of a geometry-optimized TaCo2Cl structure.

Results
**E_tot**: -110.54 eV per cell
**Raw formation energy**: 0.599 eV/atom
**Excess energy over the best structure of this formula in the dataset**: 444 meV per atom
**DOS at the Fermi energy**: 1.08 states/eV/f.u.

Lattice parameters (Å, degrees): 5.468 5.468 8.882 90.00 90.00 90.00
Space group I-42d (No. 122)
Symmetry-distinct sites (fractional):
Ta: 0.000 0.000 0.000 [4 per cell]
Co: 0.218 0.250 0.625 [8 per cell]
Cl: 0.000 0.000 0.500 [4 per cell]